(1)
Material: Rb5HI4
Method: DFT, PBE-GGA
State: relaxed

extended XYZ file:
```
10
Lattice="-5.705 5.705 3.712 5.705 -5.705 3.712 5.705 5.705 -3.712" Properties=species:S:1:pos:R:3 pbc="T T T"
Rb 0.000 0.000 0.000
Rb 6.735 2.596 0.459
Rb 2.596 4.674 0.459
Rb 3.109 1.031 4.171
Rb -1.031 3.109 4.171
H 0.000 0.000 4.494
I 3.422 1.062 0.472
I 4.642 -2.283 4.184
I 1.062 7.987 0.472
I 2.283 4.642 4.184
```

* total moment: 0.0062 μB/atom
* symmetry: I4 (79)



(2)
Material: Rb4HI3
Method: DFT, PBE-GGA
State: relaxed

extended XYZ file:
```
16
Lattice="8.906 0.000 0.000 0.000 10.283 0.000 -2.927 0.000 8.245" Properties=species:S:1:pos:R:3 pbc="T T T"
Rb 1.905 1.107 0.042
Rb 0.441 9.177 4.164
Rb 0.746 3.710 4.025
Rb -0.717 6.573 8.148
Rb 6.696 3.710 0.097
Rb 5.233 6.573 4.220
Rb 5.538 1.107 4.081
Rb 4.074 9.177 8.204
H -0.732 1.048 2.061
H -2.195 9.236 6.184
I -2.195 3.856 6.184
I -0.732 6.428 2.061
I 2.258 1.250 6.184
I 3.721 3.802 2.061
I 2.258 6.481 6.184
I 3.721 9.034 2.061
```

* total moment: 0.0057 μB/atom
* symmetry: P2/c (13)



(3)
Material: RbHI3
Method: DFT, PBE-GGA
State: relaxed

extended XYZ file:
```
10
Lattice="-4.117 4.117 5.543 4.117 -4.117 5.543 4.117 4.117 -5.543" Properties=species:S:1:pos:R:3 pbc="T T T"
Rb 4.117 0.000 2.771
Rb 0.000 4.117 2.771
H 0.000 0.000 0.000
H 0.000 0.000 5.543
I 0.000 0.000 1.908
I 2.393 2.393 0.000
I 1.723 -1.723 5.543
I -1.723 1.723 5.543
I 1.723 1.723 5.543
I 0.000 0.000 9.178
```

* total moment: 0.0000 μB/atom
* symmetry: I4/mmm (139)



(4)
Material: Rb4H3I4
Method: DFT, PBE-GGA
State: relaxed

extended XYZ file:
```
11
Lattice="14.810 0.000 0.000 0.000 2.713 6.064 0.000 -2.713 6.064" Properties=species:S:1:pos:R:3 pbc="T T T"
Rb 0.000 0.000 0.000
Rb 3.690 0.000 8.487
Rb 7.405 0.000 12.047
Rb 11.119 0.000 8.487
H 3.614 0.000 4.581
H 7.405 0.000 3.846
H 11.196 0.000 4.581
I 0.000 0.000 8.476
I 3.696 0.000 12.106
I 7.405 0.000 8.423
I 11.114 0.000 12.106
```

* total moment: 0.2727 μB/atom
* symmetry: Amm2 (38)



(5)
Material: Rb4H5I
Method: DFT, PBE-GGA
State: relaxed

extended XYZ file:
```
20
Lattice="9.822 0.000 0.000 0.000 12.517 0.000 0.000 0.000 6.175" Properties=species:S:1:pos:R:3 pbc="T T T"
Rb 0.134 3.129 0.277
Rb 2.455 6.850 3.492
Rb 2.455 11.926 3.492
Rb 4.776 3.129 0.277
Rb 5.045 9.388 5.898
Rb 7.366 0.591 2.683
Rb 7.366 5.667 2.683
Rb 9.687 9.388 5.898
H 0.243 6.290 0.306
H 0.243 12.485 0.306
H 2.455 9.388 4.929
H 4.668 6.290 0.306
H 4.668 12.485 0.306
H 5.154 0.032 5.870
H 5.154 6.227 5.870
H 7.366 3.129 1.246
H 9.579 0.032 5.870
H 9.579 6.227 5.870
I 2.455 3.129 3.506
I 7.366 9.388 2.669
```

* total moment: 0.0377 μB/atom
* symmetry: Pmmn (59)



(6)
Material: Rb2H5I4
Method: DFT, PBE-GGA
State: relaxed

extended XYZ file:
```
11
Lattice="5.771 0.000 0.000 -2.255 5.651 0.000 -0.739 -3.138 11.359" Properties=species:S:1:pos:R:3 pbc="T T T"
Rb -0.020 0.242 3.181
Rb 2.797 2.271 8.177
H -1.497 1.256 5.679
H -0.438 -2.913 11.321
H 1.139 -0.665 8.409
H 1.639 3.177 2.949
H 3.215 5.425 0.037
I -0.093 0.204 7.057
I 0.558 3.943 1.593
I 2.219 -1.430 9.765
I 2.871 2.308 4.301
```

* total moment: 0.0910 μB/atom
* symmetry: P-1 (2)



(7)
Material: RbHI
Method: DFT, PBE-GGA
State: relaxed

extended XYZ file:
```
6
Lattice="5.966 0.000 0.000 2.009 5.629 0.000 0.106 0.084 7.358" Properties=species:S:1:pos:R:3 pbc="T T T"
Rb 1.541 1.094 1.821
Rb 6.539 4.618 5.537
H 3.871 2.736 7.098
H 4.209 2.977 0.260
I 1.545 1.096 5.490
I 6.536 4.617 1.868
```

* total moment: 0.0000 μB/atom
* symmetry: P-1 (2)



(8)
Material: Rb2H3I6
Method: DFT, PBE-GGA
State: relaxed

extended XYZ file:
```
11
Lattice="11.343 -3.310 0.000 11.343 3.310 0.000 -1.096 0.000 7.141" Properties=species:S:1:pos:R:3 pbc="T T T"
Rb 3.306 0.000 0.528
Rb 18.283 0.000 6.612
H -0.548 0.000 3.570
H 6.778 0.000 2.987
H 14.811 0.000 4.153
I 22.421 0.000 1.687
I -0.831 0.000 5.454
I 6.421 0.000 4.812
I 7.069 0.000 1.067
I 14.520 0.000 6.074
I 15.168 0.000 2.329
```

* total moment: 0.0000 μB/atom
* symmetry: C2/m (12)



(9)
Material: RbHI3
Method: DFT, PBE-GGA
State: relaxed

extended XYZ file:
```
5
Lattice="7.180 0.000 0.000 0.000 7.180 0.000 0.000 0.000 7.180" Properties=species:S:1:pos:R:3 pbc="T T T"
Rb 0.000 0.000 0.000
H 3.590 3.590 3.590
I 0.000 0.000 3.590
I 0.000 3.590 0.000
I 3.590 0.000 0.000
```

* total moment: 0.6000 μB/atom
* symmetry: Pm-3m (221)



(10)
Material: Rb4H3I
Method: DFT, PBE-GGA
State: relaxed

extended XYZ file:
```
8
Lattice="4.467 0.000 0.000 0.000 6.818 0.000 0.000 0.000 9.284" Properties=species:S:1:pos:R:3 pbc="T T T"
Rb 0.000 0.000 0.000
Rb 0.000 0.000 4.642
Rb 2.234 3.409 1.897
Rb 2.234 3.409 7.387
H 0.000 3.409 0.000
H 2.234 0.000 2.128
H 2.234 0.000 7.156
I 0.000 3.409 4.642
```

* total moment: 0.0006 μB/atom
* symmetry: Pmmm (47)



(11)
Material: Rb3HI2
Method: DFT, PBE-GGA
State: relaxed

extended XYZ file:
```
12
Lattice="7.936 -3.693 0.000 7.936 3.693 0.000 -2.996 0.000 9.281" Properties=species:S:1:pos:R:3 pbc="T T T"
Rb 5.689 3.232 6.961
Rb 2.920 0.004 8.629
Rb 4.418 -0.004 3.989
Rb 8.459 0.004 5.292
Rb 9.957 -0.004 0.652
Rb 7.187 -3.232 2.320
H 5.689 0.311 6.961
H 7.187 -0.311 2.320
I 0.991 0.004 5.444
I 2.489 -0.004 0.804
I 10.388 0.004 8.477
I 11.886 -0.004 3.836
```

* total moment: 0.0079 μB/atom
* symmetry: C2/c (15)



(12)
Material: RbHI
Method: DFT, PBE-GGA
State: relaxed

extended XYZ file:
```
6
Lattice="5.158 0.000 0.000 0.000 5.158 0.000 0.000 0.000 9.002" Properties=species:S:1:pos:R:3 pbc="T T T"
Rb 0.000 0.000 0.000
Rb 2.579 2.579 4.501
H 0.000 0.000 2.931
H 2.579 2.579 7.432
I 0.000 0.000 5.267
I 2.579 2.579 0.765
```

* total moment: 0.3333 μB/atom
* symmetry: I4mm (107)



Number 1: VASP energy -0.0971 Ha/atom. Number 2: VASP energy -0.0960 Ha/atom. Number 3: VASP energy -0.0769 Ha/atom. Number 4: VASP energy -0.0841 Ha/atom. Number 5: VASP energy -0.0899 Ha/atom. Number 6: VASP energy -0.0961 Ha/atom. Number 7: VASP energy -0.1081 Ha/atom. Number 8: VASP energy -0.0893 Ha/atom. Number 9: VASP energy -0.0543 Ha/atom. Number 10: VASP energy -0.0872 Ha/atom. Number 11: VASP energy -0.0945 Ha/atom. Number 12: VASP energy -0.0818 Ha/atom.